# K3PaV2O9

Crystalline K3PaV2O9 at its relaxed geometry (PBE+U, Alexandria).

Cell and atoms, written as POSCAR:
```
K3PaV2O9
1.0
-2.6322 0.4564 5.0091
5.0678 -2.5379 -0.3226
3.1563 6.1632 1.0970
K Pa V O
3 1 2 9
Cartesian
4.6354 2.6277 2.1964
0.0000 0.0000 0.0000
0.9565 1.4540 3.5871
1.5782 3.0816 0.5485
2.9817 -0.6016 1.6216
2.6103 4.6832 4.1619
0.8969 4.1448 4.8132
3.2640 2.9593 4.6625
2.1264 3.9316 2.4735
3.4656 0.1501 3.3100
2.3279 1.1223 1.1210
4.6950 -0.0631 0.9703
-1.3161 0.2282 2.5046
2.5339 -1.2690 -0.1613
1.2178 -1.0408 2.3432
```

* density: 5043 kg/m³
* symmetry: P-3m1, No. 164
* energy: -7.043 eV/atom